(1)
Entry from Alexandria via LeMat-Bulk: PaSnRuRh after structural relaxation (GGA-PBE).

Cell lengths 4.7652, 4.7652, 4.7652 Å; angles 60.00, 60.00, 60.00 degrees
Last column: nearest neighbours and their distance in Å.
Fractional positions:
1 Ru 0.7500 0.7500 0.7500  4 Sn 2.92, 4 Pa 2.92
2 Pa 0.0000 0.0000 0.0000  4 Ru 2.92, 4 Rh 2.92
3 Rh 0.2500 0.2500 0.2500  4 Pa 2.92, 4 Sn 2.92
4 Sn 0.5000 0.5000 0.5000  4 Ru 2.92, 4 Rh 2.92

Summary:
Total DFT energy (no corrections) = -7.996 eV per atom
Calculated formation energy = -464.7 meV per atom
Fermi-level density of states = 1.86 states/eV per atom
Spin magnetization = 0.00 μB per formula unit


(2)
Entry from Alexandria via LeMat-Bulk: Tb2Pm2DyMg2 after structural relaxation (GGA-PBE).

Cell lengths 5.4927, 5.4927, 8.6879 Å; angles 71.57, 71.57, 60.00 degrees
Last column: nearest neighbours and their distance in Å.
Fractional positions:
1 Tb 0.5738 0.5738 0.2785  4 Mg 3.29-3.39, 3 Pm 3.52, 1 Tb 3.58
2 Tb 0.4262 0.4262 0.7215  4 Mg 3.29-3.39, 3 Pm 3.52, 1 Tb 3.58
3 Pm 0.1557 0.1557 0.5328  3 Pm 3.22, 1 Mg 3.27, 3 Tb 3.52
4 Pm 0.8443 0.8443 0.4672  3 Pm 3.22, 1 Mg 3.27, 3 Tb 3.52
5 Dy 0.0000 0.0000 0.0000  6 Mg 3.34
6 Mg 0.7096 0.7096 0.8712  1 Pm 3.27, 4 Tb 3.29-3.39, 3 Dy 3.34
7 Mg 0.2904 0.2904 0.1288  1 Pm 3.27, 4 Tb 3.29-3.39, 3 Dy 3.34

Summary:
Total DFT energy (no corrections) = -3.808 eV per atom
Calculated formation energy = -15.0 meV per atom
Fermi-level density of states = 1.04 states/eV per atom
Spin magnetization = 0.00 μB per formula unit


(3)
Entry from Alexandria via LeMat-Bulk: Cs2CeUN4 after structural relaxation (GGA-PBE).

Cell lengths 3.6419, 6.2303, 7.3334 Å; angles 106.14, 90.00, 90.00 degrees
Last column: nearest neighbours and their distance in Å.
Fractional positions:
1 Cs 0.5000 0.0000 0.5000  6 N 3.30-3.38, 6 Cs 3.61-3.64
2 Cs 0.0000 0.5000 0.5000  6 N 3.18-3.23
3 Ce 0.0000 0.0000 0.0000  6 N 2.40-2.42
4 U 0.5000 0.5000 0.0000  6 N 2.13-2.29
5 N 0.5000 0.2443 0.1418  1 U 2.13
6 N 0.5000 0.7557 0.8582  1 U 2.13
7 N 0.0000 0.3013 0.8547  2 U 2.29, 1 Ce 2.40
8 N 0.0000 0.6987 0.1453  2 U 2.29, 1 Ce 2.40

Summary:
Total DFT energy (no corrections) = -7.416 eV per atom
Formation energy without anion corrections = -0.8868 eV per atom
Spin magnetization = 0.00 μB per formula unit


(4)
Entry from Alexandria via LeMat-Bulk: Li2PrSn2 after structural relaxation (GGA-PBE).

Cell lengths 4.4036, 4.4036, 6.9171 Å; angles 108.56, 108.56, 90.00 degrees
Last column: nearest neighbours and their distance in Å.
Fractional positions:
1 Li 0.7500 0.2500 0.5000  4 Sn 2.76
2 Li 0.2500 0.7500 0.5000  4 Sn 2.76
3 Pr 0.0000 0.0000 0.0000  8 Sn 3.42, 8 Li 3.79
4 Sn 0.6147 0.6147 0.2294  4 Li 2.76, 1 Sn 2.83
5 Sn 0.3853 0.3853 0.7706  4 Li 2.76, 1 Sn 2.83

Summary:
Total DFT energy (no corrections) = -3.872 eV per atom
Calculated formation energy = -549.3 meV per atom
Fermi-level density of states = 0.31 states/eV per atom
Excess energy over the best structure of this formula in the dataset = 0 meV/atom
Spin magnetization = 0.00 μB per formula unit


(5)
Entry from Alexandria via LeMat-Bulk: La5W4 after structural relaxation (GGA-PBE).

Cell lengths 9.1160, 9.1160, 6.3358 Å; angles 90.00, 90.00, 60.00 degrees
Last column: nearest neighbours and their distance in Å.
Fractional positions:
1 W 0.0000 0.0000 0.0000  6 W 2.69
2 W 0.0000 0.0000 0.5000  6 W 2.69
3 W 0.7613 0.2387 0.2500  2 W 2.69, 2 La 2.90
4 W 0.0000 0.7613 0.2500  2 W 2.69, 2 La 2.90
5 W 0.2387 0.0000 0.2500  2 W 2.69, 2 La 2.90
6 W 0.2387 0.7613 0.7500  2 W 2.69, 2 La 2.90
7 W 0.0000 0.2387 0.7500  2 W 2.69, 2 La 2.90
8 W 0.7613 0.0000 0.7500  2 W 2.69, 2 La 2.90
9 La 0.3612 0.6388 0.2500  2 W 2.90
10 La 0.0000 0.3612 0.2500  2 W 2.90
11 La 0.6388 0.0000 0.2500  2 W 2.90
12 La 0.6388 0.3612 0.7500  2 W 2.90
13 La 0.0000 0.6388 0.7500  2 W 2.90
14 La 0.3612 0.0000 0.7500  2 W 2.90
15 La 0.3333 0.3333 0.0000  8 La 3.17-3.32
16 La 0.6667 0.6667 0.5000  8 La 3.17-3.32
17 La 0.6667 0.6667 0.0000  8 La 3.17-3.32
18 La 0.3333 0.3333 0.5000  8 La 3.17-3.32

Summary:
Total DFT energy (no corrections) = -7.737 eV per atom
Calculated formation energy = 757.2 meV per atom
Fermi-level density of states = 0.99 states/eV per atom
Excess energy over the best structure of this formula in the dataset = 173 meV/atom
Spin magnetization = 0.00 μB per formula unit


(6)
Entry from Alexandria via LeMat-Bulk: AcPrHo4 after structural relaxation (GGA-PBE).

Cell lengths 10.1546, 9.0338, 7.5421 Å; angles 126.79, 120.80, 90.00 degrees
Last column: nearest neighbours and their distance in Å.
Fractional positions:
1 Ac 0.6941 0.5088 0.0176  7 Ho 3.58-3.81, 2 Pr 3.61-3.68, 1 Ac 3.81
2 Ac 0.3059 0.4912 0.9824  7 Ho 3.58-3.81, 2 Pr 3.61-3.68, 1 Ac 3.81
3 Pr 0.2529 0.1655 0.3311  7 Ho 3.32-3.52, 2 Ac 3.61-3.68
4 Pr 0.7471 0.8345 0.6689  7 Ho 3.32-3.52, 2 Ac 3.61-3.68
5 Ho 0.8709 0.1635 0.3271  1 Pr 3.32, 2 Ho 3.51, 1 Ac 3.58
6 Ho 0.5615 0.3375 0.3263  4 Ho 3.15-3.51, 2 Pr 3.39-3.52
7 Ho 0.0000 0.3098 0.0000  5 Ho 3.44-3.79, 2 Pr 3.44, 2 Ac 3.61
8 Ho 0.4385 0.0112 0.6737  4 Ho 3.15-3.51, 2 Pr 3.39-3.52
9 Ho 0.1291 0.8365 0.6729  1 Pr 3.32, 2 Ho 3.51, 1 Ac 3.58
10 Ho 0.4385 0.6625 0.6737  4 Ho 3.15-3.51, 2 Pr 3.39-3.52
11 Ho 0.0000 0.6902 0.0000  5 Ho 3.44-3.79, 2 Pr 3.44, 2 Ac 3.61
12 Ho 0.5615 0.9888 0.3263  4 Ho 3.15-3.51, 2 Pr 3.39-3.52

Summary:
Total DFT energy (no corrections) = -4.292 eV per atom
Calculated formation energy = 241.4 meV per atom
Fermi-level density of states = 1.55 states/eV per atom
Excess energy over the best structure of this formula in the dataset = 178 meV/atom
Spin magnetization = 0.00 μB per formula unit


(7)
Entry from Alexandria via LeMat-Bulk: LaPuP after structural relaxation (GGA-PBE).

Cell lengths 6.6654, 3.9129, 3.9129 Å; angles 120.00, 90.00, 90.00 degrees
Last column: nearest neighbours and their distance in Å.
Fractional positions:
1 P 0.0093 0.0000 0.0000  3 Pu 2.79, 3 La 2.90
2 La 0.7368 0.6667 0.3333  3 P 2.90
3 Pu 0.2539 0.3333 0.6667  3 P 2.79

Summary:
Total DFT energy (no corrections) = -8.909 eV per atom
Calculated formation energy = -685.9 meV per atom
Fermi-level density of states = 3.00 states/eV per atom
Spin magnetization = 6.37 μB per formula unit


(8)
Entry from Alexandria via LeMat-Bulk: CePbAu17 after structural relaxation (GGA-PBE).

Cell lengths 7.3517, 7.3517, 7.3517 Å; angles 82.36, 82.36, 82.36 degrees
Last column: nearest neighbours and their distance in Å.
Fractional positions:
1 Ce 0.6674 0.6674 0.6674  16 Au 3.29-3.63
2 Pb 0.3560 0.3560 0.3560  13 Au 3.28-3.66
3 Au 0.3043 0.9972 0.6930  8 Au 2.81-3.04
4 Au 0.6930 0.3043 0.9972  8 Au 2.81-3.04
5 Au 0.9972 0.6930 0.3043  8 Au 2.81-3.04
6 Au 0.3043 0.6930 0.9972  8 Au 2.81-3.04
7 Au 0.9972 0.3043 0.6930  8 Au 2.81-3.04
8 Au 0.6930 0.9972 0.3043  8 Au 2.81-3.04
9 Au 0.3514 0.8452 0.3514  9 Au 2.78-3.06
10 Au 0.3514 0.3514 0.8452  9 Au 2.78-3.06
11 Au 0.8452 0.3514 0.3514  9 Au 2.78-3.06
12 Au 0.6458 0.1579 0.6458  9 Au 2.78-3.09
13 Au 0.6458 0.6458 0.1579  9 Au 2.78-3.09
14 Au 0.1579 0.6458 0.6458  9 Au 2.78-3.09
15 Au 0.9961 0.5003 0.9961  10 Au 2.81-2.96
16 Au 0.9961 0.9961 0.5003  10 Au 2.81-2.96
17 Au 0.5003 0.9961 0.9961  10 Au 2.81-2.96
18 Au 0.8974 0.8974 0.8974  7 Au 2.91-3.09
19 Au 0.1004 0.1004 0.1004  7 Au 2.91-3.06

Summary:
Total DFT energy (no corrections) = -3.546 eV per atom
Calculated formation energy = -105.9 meV per atom
Fermi-level density of states = 0.63 states/eV per atom
Spin magnetization = 1.04 μB per formula unit


(9)
Entry from Alexandria via LeMat-Bulk: Sc3Zn8Cd after structural relaxation (GGA-PBE).

Cell lengths 5.2482, 5.2482, 9.0707 Å; angles 73.18, 73.18, 60.00 degrees
Last column: nearest neighbours and their distance in Å.
Fractional positions:
1 Sc 0.3762 0.3762 0.8714  12 Zn 3.04-3.08, 4 Sc 3.19-3.24
2 Sc 0.9983 0.9983 0.0051  12 Zn 3.03-3.09, 1 Cd 3.20, 3 Sc 3.24
3 Sc 0.5006 0.5006 0.4982  12 Zn 3.07-3.10, 1 Sc 3.19, 3 Cd 3.20
4 Zn 0.9388 0.4395 0.1822  6 Zn 2.58-2.67
5 Zn 0.4324 0.9382 0.6911  6 Zn 2.59-2.65
6 Zn 0.4395 0.4395 0.1822  6 Zn 2.58-2.67
7 Zn 0.9382 0.9382 0.6911  6 Zn 2.59-2.65
8 Zn 0.1870 0.1870 0.4389  6 Zn 2.62-2.67
9 Zn 0.6876 0.6876 0.9371  6 Zn 2.58-2.60
10 Zn 0.4395 0.9388 0.1822  6 Zn 2.58-2.67
11 Zn 0.9382 0.4324 0.6911  6 Zn 2.59-2.65
12 Cd 0.8736 0.8736 0.3793  12 Zn 3.07-3.12, 4 Sc 3.20

Summary:
Total DFT energy (no corrections) = -2.777 eV per atom
Calculated formation energy = -268.6 meV per atom
Fermi-level density of states = 0.49 states/eV per atom
Spin magnetization = 0.00 μB per formula unit


(10)
Entry from Alexandria via LeMat-Bulk: CaPm2Er2 after structural relaxation (GGA-PBE).

Cell lengths 5.5408, 3.5503, 9.2095 Å; angles 90.01, 107.51, 90.00 degrees
Last column: nearest neighbours and their distance in Å.
Fractional positions:
1 Ca 0.0000 0.5000 0.0000  2 Er 3.53, 2 Ca 3.55, 8 Pm 3.93
2 Pm 0.6223 0.9998 0.2446  2 Pm 3.55, 6 Er 3.57-3.58, 4 Ca 3.93
3 Pm 0.3777 0.0002 0.7554  2 Pm 3.55, 6 Er 3.57-3.58, 4 Ca 3.93
4 Er 0.7990 0.5001 0.5980  4 Er 3.26-3.55, 1 Ca 3.53, 6 Pm 3.57-3.58
5 Er 0.2010 0.4999 0.4020  4 Er 3.26-3.55, 1 Ca 3.53, 6 Pm 3.57-3.58

Summary:
Total DFT energy (no corrections) = -4.084 eV per atom
Calculated formation energy = 42.0 meV per atom
Fermi-level density of states = 1.33 states/eV per atom
Spin magnetization = 0.00 μB per formula unit


(11)
Entry from Alexandria via LeMat-Bulk: CdCl2 after structural relaxation (GGA-PBE).

Cell lengths 7.0761, 7.0761, 7.0761 Å; angles 152.45, 152.45, 39.35 degrees
Last column: nearest neighbours and their distance in Å.
Fractional positions:
1 Cl 0.6190 0.6190 0.0000  4 Cd 2.86, 1 Cl 3.17
2 Cl 0.3810 0.3810 0.0000  4 Cd 2.86, 1 Cl 3.17
3 Cd 0.0000 0.0000 0.0000  8 Cl 2.86

Summary:
Total DFT energy (no corrections) = -2.287 eV per atom
Formation energy without anion corrections = -0.7505 eV per atom
Fermi-level density of states = 0.00 states/eV per atom
Spin magnetization = 0.00 μB per formula unit


(12)
Entry from Alexandria via LeMat-Bulk: SiSe2Br after structural relaxation (GGA-PBE).

Cell lengths 5.9217, 5.9217, 5.9217 Å; angles 146.19, 102.89, 86.90 degrees
Last column: nearest neighbours and their distance in Å.
Fractional positions:
1 Br 0.2973 0.7973 0.5000  2 Si 2.57
2 Se 0.9577 0.9577 0.0000  2 Se 2.64
3 Se 0.7250 0.2250 0.5000  2 Si 2.46, 2 Se 2.64
4 Si 0.5200 0.5200 0.0000  2 Se 2.46, 2 Br 2.57

Summary:
Total DFT energy (no corrections) = -3.198 eV per atom
Formation energy without anion corrections = 0.3180 eV per atom
Fermi-level density of states = 0.34 states/eV per atom
Excess energy over the best structure of this formula in the dataset = 431 meV/atom
Spin magnetization = 0.00 μB per formula unit